This record from the Open Quantum Materials Database describes a geometry-optimized CoBPO structure. The functional is PBE with a Hubbard U.

Lattice parameters (Å, degrees): 3.2722 3.2722 8.2492 90.00 90.00 90.00
With the nearest neighbours (Å) after each atom.
Element x y z (fractional)
Co 0.2500 0.7500 0.0000  4 P 2.14, 4 Co 2.31
Co 0.7500 0.2500 0.0000  4 P 2.14, 4 Co 2.31
B 0.2500 0.2500 0.4369  4 O 1.72
B 0.7500 0.7500 0.5631  4 O 1.72
P 0.2500 0.2500 0.8323  4 Co 2.14
P 0.7500 0.7500 0.1677  4 Co 2.14
O 0.2500 0.7500 0.5000  4 B 1.72
O 0.7500 0.2500 0.5000  4 B 1.72

Results
- E_tot (eV per formula unit) = -21.2
- ΔE to the lowest computed polymorph (meV per atom) = 832
- space-group type = P4/nmm, No. 129